Entry 1:
First-principles (PBE-GGA) data for crystalline SmZr2V at its relaxed geometry, as listed in Alexandria.

Output
energy above the lowest structure with this stoichiometry	0.000	eV per atom
DOS at the Fermi energy	6.677	states/eV/cell

Cell lengths 3.3767, 3.3767, 8.0186 Å; angles 90.00, 90.00, 90.00 degrees
Last column: nearest neighbours and their distance in Å.
Fractional positions:
Zr: 0.0000 0.0000 0.8051  4 V 2.85, 1 Zr 3.13
Zr: 0.0000 0.0000 0.1949  4 V 2.85, 1 Zr 3.13
Sm: 0.5000 0.5000 0.5000  4 Sm 3.38, 8 Zr 3.42
V: 0.5000 0.5000 0.0000  8 Zr 2.85


Entry 2:
First-principles (PBE-GGA) data for crystalline CdP2Ru at its relaxed geometry, as listed in Alexandria.

Output
DOS at the Fermi energy	3.934	states/eV/cell

Cell lengths 5.6166, 5.6166, 6.8086 Å; angles 65.64, 65.64, 90.00 degrees
Last column: nearest neighbours and their distance in Å.
Fractional positions:
P: 0.8750 0.8168 0.7500  2 Ru 2.25
P: 0.1832 0.6250 0.2500  2 Ru 2.25
P: 0.5668 0.1250 0.2500  2 Ru 2.25
P: 0.3750 0.4332 0.7500  2 Ru 2.25
Ru: 0.5000 0.5000 0.0000  4 P 2.25
Ru: 0.2500 0.7500 0.5000  4 P 2.25
Cd: 0.0000 0.0000 0.0000  4 P 2.62
Cd: 0.7500 0.2500 0.5000  4 P 2.62


Entry 3:
First-principles (PBE-GGA) data for crystalline Ac4PrRh3 at its relaxed geometry, as listed in Alexandria.

Output
DOS at the Fermi energy	8.270	states/eV/cell

Cell lengths 7.4778, 8.0441, 11.0072 Å; angles 110.56, 90.00, 117.70 degrees
Last column: nearest neighbours and their distance in Å.
Fractional positions:
Rh: 0.6924 0.3837 0.3703  1 Pr 2.92, 5 Ac 2.99-3.03
Rh: 0.6912 0.3837 0.8703  1 Pr 2.92, 5 Ac 2.99-3.03
Rh: 0.8981 0.8082 0.8013  1 Pr 2.93, 5 Ac 2.94-3.04
Rh: 0.9100 0.8082 0.3013  1 Pr 2.93, 5 Ac 2.94-3.04
Rh: 0.3005 0.6023 0.5897  1 Pr 2.89, 5 Ac 2.96-3.03
Rh: 0.3018 0.6023 0.0897  1 Pr 2.89, 5 Ac 2.96-3.03
Pr: 0.3200 0.9884 0.2376  3 Rh 2.89-2.93
Pr: 0.6685 0.9884 0.7376  3 Rh 2.89-2.93
Ac: 0.9286 0.2038 0.4392  3 Rh 2.94-2.99
Ac: 0.7323 0.7916 0.0460  4 Rh 2.98-3.04
Ac: 0.1311 0.5998 0.8393  4 Rh 3.01-3.04
Ac: 0.8661 0.4019 0.1264  4 Rh 2.99-3.03
Ac: 0.2752 0.2038 0.9392  3 Rh 2.94-2.99
Ac: 0.4687 0.5998 0.3393  4 Rh 3.01-3.04
Ac: 0.5359 0.4019 0.6264  4 Rh 2.99-3.03
Ac: 0.0593 0.7916 0.5460  4 Rh 2.98-3.04


Entry 4:
First-principles (PBE-GGA) data for crystalline Cs2LiGeO4 at its relaxed geometry, as listed in Alexandria.

Output
DOS at the Fermi energy	14.531	states/eV/cell
uncorrected formation energy	-1.529	eV/atom

Cell lengths 5.0195, 6.7653, 11.1656 Å; angles 85.22, 77.01, 68.22 degrees
Last column: nearest neighbours and their distance in Å.
Fractional positions:
Ge: 0.5000 0.0000 0.0000  4 O 1.79
Ge: 0.2500 0.5000 0.5000  4 O 1.79
Li: 0.7500 0.5000 0.5000  4 O 1.97
Li: 0.0000 0.0000 0.0000  4 O 1.97
O: 0.1523 0.3386 0.4120  1 Ge 1.79, 1 Li 1.97
O: 0.4358 0.6614 0.4120  1 Ge 1.79, 1 Li 1.97
O: 0.3142 0.8386 0.0880  1 Ge 1.79, 1 Li 1.97
O: 0.9029 0.6614 0.5880  1 Ge 1.79, 1 Li 1.97
O: 0.5091 0.3386 0.5880  1 Ge 1.79, 1 Li 1.97
O: 0.2409 0.1614 0.9120  1 Ge 1.79, 1 Li 1.97
O: 0.8471 0.8386 0.9120  1 Ge 1.79, 1 Li 1.97
O: 0.5977 0.1614 0.0880  1 Ge 1.79, 1 Li 1.97
Cs: 0.9217 0.5000 0.1566  8 O 3.27-3.48
Cs: 0.1717 0.0000 0.6566  8 O 3.27-3.48
Cs: 0.8283 0.0000 0.3434  8 O 3.27-3.48
Cs: 0.5783 0.5000 0.8434  8 O 3.27-3.48


Number 1: electronic total energy -7.54 eV/atom. Number 2: electronic total energy -5.27 eV/atom. Number 3: electronic total energy -5.99 eV/atom. Number 4: electronic total energy -5.04 eV/atom.